(1)
A relaxed LiY2Hg3 crystal, computed with PBE-GGA.

The structure in CIF format:
```
data_LiY2Hg3
_chemical_formula_sum 'Li2 Y4 Hg6'
_cell_length_a 5.1361
_cell_length_b 5.1361
_cell_length_c 12.5352
_cell_angle_alpha 90.00
_cell_angle_beta 90.00
_cell_angle_gamma 120.00
_space_group_name_H-M_alt 'P 1'
_space_group_IT_number 1
_space_group_name_Hall 'P 1'
loop_
_atom_site_label
_atom_site_fract_x
_atom_site_fract_y
_atom_site_fract_z
_atom_site_occupancy
Li1 0.3333 0.6667 0.6650 1
Li2 0.6667 0.3333 0.3350 1
Y1 0.6667 0.3333 0.8205 1
Y2 0.0000 0.0000 0.0000 1
Y3 0.0000 0.0000 0.5000 1
Y4 0.3333 0.6667 0.1795 1
Hg1 0.3333 0.6667 0.9112 1
Hg2 0.0000 0.0000 0.7456 1
Hg3 0.3333 0.6667 0.4253 1
Hg4 0.6667 0.3333 0.5747 1
Hg5 0.0000 0.0000 0.2544 1
Hg6 0.6667 0.3333 0.0888 1
```

## Properties
Space-group type = No. 164
DOS at the Fermi energy = 7.61 states/eV/cell
E_form = -0.47 eV/atom
Spin magnetization = 0.000 μB/f.u.



(2)
A relaxed Li2YHg crystal, computed with PBE-GGA.

The structure in CIF format:
```
data_Li2YHg
_chemical_formula_sum 'Li2 Y1 Hg1'
_cell_length_a 5.1304
_cell_length_b 3.4913
_cell_length_c 5.2354
_cell_angle_alpha 86.30
_cell_angle_beta 90.00
_cell_angle_gamma 90.00
_space_group_name_H-M_alt 'P 1'
_space_group_IT_number 1
_space_group_name_Hall 'P 1'
loop_
_atom_site_label
_atom_site_fract_x
_atom_site_fract_y
_atom_site_fract_z
_atom_site_occupancy
Li1 0.0000 0.5991 0.5232 1
Li2 0.0000 0.9009 0.9768 1
Y1 0.5000 0.2500 0.2500 1
Hg1 0.5000 0.7500 0.7500 1
```

## Properties
Space-group type = No. 10
DOS at the Fermi energy = 2.78 states/eV/cell
E_form = -0.16 eV/atom
Spin magnetization = 0.000 μB/f.u.



(3)
A relaxed LiY2Hg crystal, computed with PBE-GGA.

The structure in CIF format:
```
data_LiY2Hg
_chemical_formula_sum 'Li1 Y2 Hg1'
_cell_length_a 4.8428
_cell_length_b 3.5524
_cell_length_c 6.2199
_cell_angle_alpha 73.59
_cell_angle_beta 90.00
_cell_angle_gamma 90.00
_space_group_name_H-M_alt 'P 1'
_space_group_IT_number 1
_space_group_name_Hall 'P 1'
loop_
_atom_site_label
_atom_site_fract_x
_atom_site_fract_y
_atom_site_fract_z
_atom_site_occupancy
Li1 0.5000 0.5602 0.7565 1
Hg1 0.0000 0.6896 0.4941 1
Y1 0.5000 0.2831 0.3076 1
Y2 0.0000 0.9671 0.9418 1
```

## Properties
Space-group type = No. 6
DOS at the Fermi energy = 4.66 states/eV/cell
E_form = -0.21 eV/atom
Spin magnetization = 0.000 μB/f.u.



(4)
A relaxed Li2Y2Hg crystal, computed with PBE-GGA.

The structure in CIF format:
```
data_Li2Y2Hg
_chemical_formula_sum 'Li2 Y2 Hg1'
_cell_length_a 3.6864
_cell_length_b 3.6864
_cell_length_c 9.7933
_cell_angle_alpha 79.15
_cell_angle_beta 79.15
_cell_angle_gamma 90.00
_space_group_name_H-M_alt 'P 1'
_space_group_IT_number 1
_space_group_name_Hall 'P 1'
loop_
_atom_site_label
_atom_site_fract_x
_atom_site_fract_y
_atom_site_fract_z
_atom_site_occupancy
Li1 0.7500 0.2500 0.5000 1
Li2 0.2500 0.7500 0.5000 1
Hg1 0.0000 0.0000 0.0000 1
Y1 0.4024 0.4024 0.1952 1
Y2 0.5976 0.5976 0.8048 1
```

## Properties
Space-group type = No. 139
DOS at the Fermi energy = 5.39 states/eV/cell
E_form = -0.02 eV/atom
Spin magnetization = 0.332 μB/f.u.



(5)
A relaxed Li2Y2Hg crystal, computed with PBE-GGA.

The structure in CIF format:
```
data_Li2Y2Hg
_chemical_formula_sum 'Li4 Y4 Hg2'
_cell_length_a 6.8932
_cell_length_b 6.8932
_cell_length_c 4.9222
_cell_angle_alpha 90.00
_cell_angle_beta 90.00
_cell_angle_gamma 90.00
_space_group_name_H-M_alt 'P 1'
_space_group_IT_number 1
_space_group_name_Hall 'P 1'
loop_
_atom_site_label
_atom_site_fract_x
_atom_site_fract_y
_atom_site_fract_z
_atom_site_occupancy
Y1 0.3169 0.1831 0.5000 1
Y2 0.1831 0.6831 0.5000 1
Y3 0.8169 0.3169 0.5000 1
Y4 0.6831 0.8169 0.5000 1
Li1 0.1295 0.3705 0.0000 1
Li2 0.8705 0.6295 0.0000 1
Li3 0.3705 0.8705 0.0000 1
Li4 0.6295 0.1295 0.0000 1
Hg1 0.5000 0.5000 0.0000 1
Hg2 0.0000 0.0000 0.0000 1
```

## Properties
Space-group type = No. 127
DOS at the Fermi energy = 12.78 states/eV/cell
E_form = -0.09 eV/atom
Spin magnetization = 1.140 μB/f.u.



(6)
A relaxed LiYHg2 crystal, computed with PBE-GGA.

The structure in CIF format:
```
data_LiYHg2
_chemical_formula_sum 'Li1 Y1 Hg2'
_cell_length_a 5.9050
_cell_length_b 5.9050
_cell_length_c 5.9050
_cell_angle_alpha 143.43
_cell_angle_beta 129.21
_cell_angle_gamma 64.19
_space_group_name_H-M_alt 'P 1'
_space_group_IT_number 1
_space_group_name_Hall 'P 1'
loop_
_atom_site_label
_atom_site_fract_x
_atom_site_fract_y
_atom_site_fract_z
_atom_site_occupancy
Hg1 0.9894 0.9894 0.0000 1
Hg2 0.7449 0.2449 0.5000 1
Y1 0.2425 0.7425 0.5000 1
Li1 0.5231 0.5231 0.0000 1
```

## Properties
Space-group type = No. 44
DOS at the Fermi energy = 2.52 states/eV/cell
E_form = -0.30 eV/atom
Spin magnetization = 0.000 μB/f.u.